## PmInSb2 (PBE)

Data for crystalline PmInSb2 at its relaxed geometry.

Its crystal system is tetragonal. As for the uncorrected formation energy: -0.511 eV/atom. The total energy is -17.78 eV per cell. Its density is 7.65 g/cm³. As for the space-group type: P4/mmm (123).

Cell: 5.0178 5.0178 4.3412 Å, 90.00 90.00 90.00°
With the nearest neighbours (Å) after each atom.
Atoms (fractional coordinates):
Pm (0.0000, 0.0000, 0.0000)  8 Sb 3.32, 4 In 3.55
In (0.5000, 0.5000, 0.0000)  8 Sb 3.32, 4 Pm 3.55
Sb (0.0000, 0.5000, 0.5000)  4 In 3.32, 4 Pm 3.32, 4 Sb 3.55
Sb (0.5000, 0.0000, 0.5000)  4 In 3.32, 4 Pm 3.32, 4 Sb 3.55